1.
The following is a GGA-PBE calculation of a geometry-optimized Ta3IrBr structure, from Alexandria.

The structure belongs to space group Pm-3m (No. 221); the cell edges are 4.930, 4.930 and 4.930 Å and the angles 90.00°, 90.00° and 90.00°. The asymmetric unit holds Ta at (0.000, 0.000, 0.500), Ir at (0.000, 0.000, 0.000) and Br at (0.500, 0.500, 0.500).

The value obtained for the energy above the most stable polymorph in this dataset is 0 meV per atom. For the magnetization, the calculation gives 0.0 μB per formula unit. The value obtained for the energy relative to the elements, uncorrected is 1201 meV per atom.

2.
The following is a GGA-PBE calculation of a geometry-optimized La3PbI structure, from Alexandria.

The structure belongs to space group Pm-3m (No. 221); the cell edges are 5.905, 5.905 and 5.905 Å and the angles 90.00°, 90.00° and 90.00°. The asymmetric unit holds La at (0.000, 0.000, 0.500), Pb at (0.500, 0.500, 0.500) and I at (0.000, 0.000, 0.000).

The value obtained for the energy above the most stable polymorph in this dataset is 425 meV per atom. For the magnetization, the calculation gives 0.0 μB per formula unit. The value obtained for the energy relative to the elements, uncorrected is -136 meV per atom.

3.
The following is a GGA-PBE calculation of a geometry-optimized Pa5Os2 structure, from Alexandria.

The structure belongs to space group C2/c (No. 15); the cell edges are 16.300, 6.052 and 6.914 Å and the angles 90.00°, 98.24° and 90.00°. The asymmetric unit holds Pa at (0.000, 0.119, 0.250), Pa at (0.093, 0.393, 0.931), Pa at (0.222, 0.122, 0.330) and Os at (0.107, 0.172, 0.599).

For the formation energy from the elements, the calculation gives -0.1525 eV/atom. For the magnetization, the calculation gives 0.0 μB per formula unit.

4.
The following is a GGA-PBE calculation of a geometry-optimized Ga4Pd2Au structure, from Alexandria.

The structure belongs to space group I4/mmm (No. 139); the cell edges are 4.844, 4.844 and 12.725 Å and the angles 90.00°, 90.00° and 90.00°. The asymmetric unit holds Ga at (0.000, 0.000, 0.204), Ga at (0.000, 0.500, 0.000), Pd at (0.000, 0.000, 0.395) and Au at (0.000, 0.000, 0.000).

For the formation energy from the elements, the calculation gives -0.0152 eV/atom. For the magnetization, the calculation gives 0.0 μB per formula unit.

5.
The following is a GGA-PBE calculation of a geometry-optimized PmPr3Sb4 structure, from Alexandria.

The structure belongs to space group Pm-3m (No. 221); the cell edges are 6.420, 6.420 and 6.420 Å and the angles 90.00°, 90.00° and 90.00°. The asymmetric unit holds Pm at (0.000, 0.000, 0.000), Pr at (0.000, 0.500, 0.500), Sb at (0.000, 0.000, 0.500) and Sb at (0.500, 0.500, 0.500).

The value obtained for the energy above the most stable polymorph in this dataset is 0 meV per atom. For the magnetization, the calculation gives 0.0 μB per formula unit. The value obtained for the energy relative to the elements, uncorrected is -1195 meV per atom.

magnetization of number 2 (La3PbI)? 0.0 μB per formula unit

What is the magnetization in the second record? 0.0 μB per formula unit